A relaxed Al2TlNi crystal. Source: Alexandria, functional PBE.

Cell lengths 4.0497, 4.0719, 4.1003 Å; angles 90.00, 90.00, 90.00 degrees
Closest atoms and distances in Å follow each position.
Sites, in units of the cell vectors:
Al1 0.0000 0.0000 0.0000  4 Ni 2.87, 4 Tl 2.88, 4 Al 2.89
Al2 0.0000 0.5000 0.5000  4 Tl 2.87, 4 Ni 2.88, 4 Al 2.89
Tl1 0.5000 0.0000 0.5000  8 Al 2.87-2.88, 4 Ni 2.89
Ni1 0.5000 0.5000 0.0000  8 Al 2.87-2.88, 4 Tl 2.89

Results
VASP energy ... -3.6776 eV per atom
Formation energy ... 89 kJ/mol of formula units
Magnetization ... 0.00 μB per cell